(1)
# BaScAg2Te4

Crystalline BaScAg2Te4 at its relaxed geometry (PBE-GGA, the Alexandria database).

Unit cell a=7.4456 b=7.9914 c=8.9558 alpha=90.00 beta=90.00 gamma=90.00
Space group I222 (No. 23)
One atom of each set of equivalent atoms:
Ba 0.0000 0.0000 0.0000
Sc 0.0000 0.0000 0.5000
Ag 0.0000 0.5000 0.1710
Te 0.2063 0.2125 0.3189

Summary:
D(E_F): 5.5 states/eV/cell
energy relative to the elements, uncorrected: -0.746 eV per atom
final energy: -64.980 eV/cell



(2)
# CaBe2Co2

Crystalline CaBe2Co2 at its relaxed geometry (PBE-GGA, the Alexandria database).

Unit cell a=3.8648 b=3.8648 c=8.8981 alpha=90.00 beta=90.00 gamma=90.00
Space group I4/mmm (No. 139)
One atom of each set of equivalent atoms:
Ca 0.0000 0.0000 0.0000
Be 0.0000 0.5000 0.2500
Co 0.0000 0.0000 0.3712

Summary:
D(E_F): 6.7 states/eV/cell
E above lowest polymorph: 0.0000 eV per atom
final energy: -46.124 eV/cell
E_form: 121 meV per atom



(3)
# Tb5Sm6Th

Crystalline Tb5Sm6Th at its relaxed geometry (PBE-GGA, the Alexandria database).

Unit cell a=5.0881 b=9.5138 c=9.5144 alpha=106.59 beta=105.44 gamma=105.51
Space group P-1 (No. 2)
One atom of each set of equivalent atoms:
Tb 0.0000 0.0000 0.0000
Tb 0.9999 0.3353 0.6646
Tb 0.4999 0.1674 0.8327
Sm 0.2472 0.7472 0.7472
Sm 0.2506 0.0860 0.4154
Sm 0.2509 0.4155 0.0860
Th 0.5000 0.5000 0.5000

Summary:
D(E_F): 17.4 states/eV/cell
final energy: -58.551 eV/cell
E_form: 28 meV per atom



(4)
# CaMg2HPt

Crystalline CaMg2HPt at its relaxed geometry (PBE-GGA, the Alexandria database).

Unit cell a=4.2978 b=4.2978 c=4.5318 alpha=90.00 beta=90.00 gamma=90.00
Space group P4/mmm (No. 123)
One atom of each set of equivalent atoms:
Ca 0.0000 0.0000 0.0000
Mg 0.0000 0.5000 0.5000
H 0.0000 0.0000 0.5000
Pt 0.5000 0.5000 0.0000

Summary:
D(E_F): 2.4 states/eV/cell
final energy: -16.650 eV/cell



(5)
# Rb2U3AgS8

Crystalline Rb2U3AgS8 at its relaxed geometry (PBE-GGA, the Alexandria database).

Unit cell a=8.0422 b=8.0422 c=24.4739 alpha=90.00 beta=90.00 gamma=120.00
Space group R3m (No. 160, hexagonal axes)
One atom of each set of equivalent atoms:
Rb 0.0000 0.0000 0.0000
Rb 0.0000 0.0000 0.3578
U 0.0003 0.5001 0.4987
Ag 0.0000 0.0000 0.5399
S 0.0000 0.0000 0.2234
S 0.0000 0.0000 0.7746
S 0.0295 0.5148 0.7737
S 0.1797 0.3593 0.5592

Summary:
D(E_F): 44.4 states/eV/cell
energy relative to the elements, uncorrected: -1.235 eV per atom
final energy: -266.901 eV/cell



(6)
# Er2TmInAu4

Crystalline Er2TmInAu4 at its relaxed geometry (PBE-GGA, the Alexandria database).

Unit cell a=4.9678 b=4.9678 c=24.7548 alpha=90.00 beta=90.00 gamma=120.00
Space group R-3m (No. 166, hexagonal axes)
One atom of each set of equivalent atoms:
Er 0.0000 0.0000 0.2434
Tm 0.0000 0.0000 0.0000
In 0.0000 0.0000 0.5000
Au 0.0000 0.0000 0.1188
Au 0.0000 0.0000 0.3656

Summary:
D(E_F): 12.9 states/eV/cell
final energy: -107.827 eV/cell
E_form: -812 meV per atom



(7)
# KHgSe

Crystalline KHgSe at its relaxed geometry (PBE-GGA, the Alexandria database).

Unit cell a=4.9683 b=4.9683 c=4.6639 alpha=90.00 beta=90.00 gamma=120.00
Space group P-6m2 (No. 187)
One atom of each set of equivalent atoms:
K 0.0000 0.0000 0.0000
Hg 0.3333 0.6667 0.5000
Se 0.6667 0.3333 0.5000

Summary:
D(E_F): 0.8 states/eV/cell
E above lowest polymorph: 0.0011 eV per atom
energy relative to the elements, uncorrected: -0.544 eV per atom
final energy: -6.516 eV/cell